#P
## LaFe2Tc (PBE)

Data for crystalline LaFe2Tc at its relaxed geometry.

Total moment   1.2380 μB/atom
Symmetry   P4/mmm (123)

Cell: 4.5827 4.5827 3.1645 Å, 90.00 90.00 90.00°
Sites, in units of the cell vectors:
1 La 0.0000 0.0000 0.0000
2 Fe 0.0000 0.5000 0.5000
3 Fe 0.5000 0.0000 0.5000
4 Tc 0.5000 0.5000 0.0000

***

#Q
## LaFe2Tc (PBE)

Data for crystalline LaFe2Tc at its relaxed geometry.

Total moment   1.0656 μB/atom
Symmetry   Imm2 (44)

Cell: 5.4732 5.4732 5.4732 Å, 148.10 128.11 62.21°
Sites, in units of the cell vectors:
1 La 0.0000 0.0000 0.0000
2 Fe 0.5013 0.5013 0.0000
3 Fe 0.7174 0.2174 0.5000
4 Tc 0.2768 0.7768 0.5000

***

#R
## LaFe2Tc (PBE)

Data for crystalline LaFe2Tc at its relaxed geometry.

Total moment   1.1143 μB/atom
Symmetry   R-3m (166)

Cell: 9.3258 9.3258 9.3258 Å, 18.12 18.12 18.12°
Sites, in units of the cell vectors:
1 La 0.0000 0.0000 0.0000
2 Fe 0.2362 0.2362 0.2362
3 Fe 0.7638 0.7638 0.7638
4 Tc 0.5000 0.5000 0.5000

***

Most stable structure: #Q

***

#P
## LaFe2Tc (PBE)

Data for crystalline LaFe2Tc at its relaxed geometry.

Total moment   1.1527 μB/atom
Symmetry   Fm-3m (225)

Cell: 4.5464 4.5464 4.5464 Å, 60.00 60.00 60.00°
Sites, in units of the cell vectors:
1 La 0.0000 0.0000 0.0000
2 Fe 0.2500 0.2500 0.2500
3 Fe 0.7500 0.7500 0.7500
4 Tc 0.5000 0.5000 0.5000

***

#Q
## LaFe2Tc (PBE)

Data for crystalline LaFe2Tc at its relaxed geometry.

Total moment   0.6928 μB/atom
Symmetry   R-3m (166)

Cell: 5.7586 5.7586 5.7586 Å, 42.26 42.26 42.26°
Sites, in units of the cell vectors:
1 La 0.0000 0.0000 0.0000
2 Fe 0.1915 0.1915 0.1915
3 Fe 0.8085 0.8085 0.8085
4 Tc 0.5000 0.5000 0.5000

***

Most stable structure: #Q

***

#P
## LaFe2Tc (PBE)

Data for crystalline LaFe2Tc at its relaxed geometry.

Total moment   1.0785 μB/atom
Symmetry   Pm (6)

Cell: 3.1331 4.2168 5.5113 Å, 90.00 103.39 90.00°
Sites, in units of the cell vectors:
1 La 0.0000 0.0000 0.0000
2 Fe 0.3561 0.0000 0.5022
3 Fe 0.3844 0.5000 0.7337
4 Tc 0.7348 0.5000 0.3889

***

#Q
## LaFe2Tc (PBE)

Data for crystalline LaFe2Tc at its relaxed geometry.

Total moment   0.9722 μB/atom
Symmetry   P4mm (99)

Cell: 3.0406 3.0406 7.3312 Å, 90.00 90.00 90.00°
Sites, in units of the cell vectors:
1 La 0.0000 0.0000 0.0000
2 Fe 0.0000 0.0000 0.5161
3 Fe 0.5000 0.5000 0.6865
4 Tc 0.5000 0.5000 0.3331

***

Most stable structure: #Q

***

#P
## LaFe2Tc (PBE)

Data for crystalline LaFe2Tc at its relaxed geometry.

Total moment   1.4271 μB/atom
Symmetry   F-43m (216)

Cell: 4.5538 4.5538 4.5538 Å, 60.00 60.00 60.00°
Sites, in units of the cell vectors:
1 La 0.0000 0.0000 0.0000
2 Fe 0.2500 0.2500 0.2500
3 Fe 0.5000 0.5000 0.5000
4 Tc 0.7500 0.7500 0.7500

***

#Q
## LaFe2Tc (PBE)

Data for crystalline LaFe2Tc at its relaxed geometry.

Total moment   0.6682 μB/atom
Symmetry   R3m (160)

Cell: 5.7703 5.7703 5.7703 Å, 42.08 42.08 42.08°
Sites, in units of the cell vectors:
1 La 0.0000 0.0000 0.0000
2 Fe 0.1906 0.1906 0.1906
3 Fe 0.5097 0.5097 0.5097
4 Tc 0.8106 0.8106 0.8106

***

Most stable structure: #Q

***

#P
## LaFe2Te2 (PBE)

Data for crystalline LaFe2Te2 at its relaxed geometry.

Total moment   0.0001 μB/atom
Symmetry   P4/mbm (127)

Cell: 8.0125 8.0125 3.2203 Å, 90.00 90.00 90.00°
Sites, in units of the cell vectors:
1 La 0.0000 0.0000 0.0000
2 La 0.5000 0.5000 0.0000
3 Fe 0.1174 0.3826 0.5000
4 Fe 0.3826 0.8826 0.5000
5 Fe 0.6174 0.1174 0.5000
6 Fe 0.8826 0.6174 0.5000
7 Te 0.1419 0.6419 0.0000
8 Te 0.3581 0.1419 0.0000
9 Te 0.6419 0.8581 0.0000
10 Te 0.8581 0.3581 0.0000

***

#Q
## LaFe2Te2 (PBE)

Data for crystalline LaFe2Te2 at its relaxed geometry.

Total moment   0.0002 μB/atom
Symmetry   I4/mmm (139)

Cell: 6.8666 6.8666 6.8666 Å, 145.17 145.17 50.07°
Sites, in units of the cell vectors:
1 La 0.0000 0.0000 0.0000
2 Fe 0.2500 0.7500 0.5000
3 Fe 0.7500 0.2500 0.5000
4 Te 0.3612 0.3612 0.0000
5 Te 0.6388 0.6388 0.0000

***

Most stable structure: #Q

***

#P
## LaTi2Fe2 (PBE)

Data for crystalline LaTi2Fe2 at its relaxed geometry.

Total moment   0.0000 μB/atom
Symmetry   P4/mbm (127)

Cell: 7.4681 7.4681 3.0047 Å, 90.00 90.00 90.00°
Sites, in units of the cell vectors:
1 La 0.0000 0.0000 0.0000
2 La 0.5000 0.5000 0.0000
3 Ti 0.1362 0.3638 0.5000
4 Ti 0.3638 0.8638 0.5000
5 Ti 0.6362 0.1362 0.5000
6 Ti 0.8638 0.6362 0.5000
7 Fe 0.1402 0.6402 0.0000
8 Fe 0.3598 0.1402 0.0000
9 Fe 0.6402 0.8598 0.0000
10 Fe 0.8598 0.3598 0.0000

***

#Q
## LaTi2Fe2 (PBE)

Data for crystalline LaTi2Fe2 at its relaxed geometry.

Total moment   0.2310 μB/atom
Symmetry   I4/mmm (139)

Cell: 5.9363 5.9363 5.9363 Å, 137.83 137.83 61.16°
Sites, in units of the cell vectors:
1 La 0.0000 0.0000 0.0000
2 Ti 0.3487 0.3487 0.0000
3 Ti 0.6513 0.6513 0.0000
4 Fe 0.2500 0.7500 0.5000
5 Fe 0.7500 0.2500 0.5000

***

Most stable structure: #P

***

#P
## LaTi2Fe2 (PBE)

Data for crystalline LaTi2Fe2 at its relaxed geometry.

Total moment   0.1370 μB/atom
Symmetry   P4/mbm (127)

Cell: 7.5915 7.5915 2.8903 Å, 90.00 90.00 90.00°
Sites, in units of the cell vectors:
1 La 0.0000 0.0000 0.0000
2 La 0.5000 0.5000 0.0000
3 Ti 0.1335 0.3665 0.0000
4 Ti 0.3665 0.8665 0.0000
5 Ti 0.6335 0.1335 0.0000
6 Ti 0.8665 0.6335 0.0000
7 Fe 0.1374 0.6374 0.5000
8 Fe 0.3626 0.1374 0.5000
9 Fe 0.6374 0.8626 0.5000
10 Fe 0.8626 0.3626 0.5000

***

#Q
## LaTi2Fe2 (PBE)

Data for crystalline LaTi2Fe2 at its relaxed geometry.

Total moment   0.0000 μB/atom
Symmetry   I4/mmm (139)

Cell: 6.0276 6.0276 6.0276 Å, 140.17 140.17 57.60°
Sites, in units of the cell vectors:
1 La 0.0000 0.0000 0.0000
2 Ti 0.2500 0.7500 0.5000
3 Ti 0.7500 0.2500 0.5000
4 Fe 0.3873 0.3873 0.0000
5 Fe 0.6127 0.6127 0.0000

***

Most stable structure: #Q

***

#P
## LaTiFe3 (PBE)

Data for crystalline LaTiFe3 at its relaxed geometry.

Total moment   0.3472 μB/atom
Symmetry   Pm-3m (221)

Cell: 4.4848 4.4848 4.4848 Å, 90.00 90.00 90.00°
Sites, in units of the cell vectors:
1 La 0.0000 0.0000 0.0000
2 Ti 0.5000 0.5000 0.5000
3 Fe 0.0000 0.0000 0.5000
4 Fe 0.0000 0.5000 0.0000
5 Fe 0.5000 0.0000 0.0000

***

#Q
## LaTiFe3 (PBE)

Data for crystalline LaTiFe3 at its relaxed geometry.

Total moment   0.9899 μB/atom
Symmetry   Pm-3m (221)

Cell: 4.5691 4.5691 4.5691 Å, 90.00 90.00 90.00°
Sites, in units of the cell vectors:
1 La 0.0000 0.0000 0.0000
2 Ti 0.5000 0.5000 0.5000
3 Fe 0.0000 0.5000 0.5000
4 Fe 0.5000 0.0000 0.5000
5 Fe 0.5000 0.5000 0.0000

***

Most stable structure: #Q

***

#P
## La2TiFe (PBE)

Data for crystalline La2TiFe at its relaxed geometry.

Total moment   0.4760 μB/atom
Symmetry   Fm-3m (225)

Cell: 5.1091 5.1091 5.1091 Å, 60.00 60.00 60.00°
Sites, in units of the cell vectors:
1 La 0.2500 0.2500 0.2500
2 La 0.7500 0.7500 0.7500
3 Ti 0.0000 0.0000 0.0000
4 Fe 0.5000 0.5000 0.5000

***

#Q
## La2TiFe (PBE)

Data for crystalline La2TiFe at its relaxed geometry.

Total moment   0.3329 μB/atom
Symmetry   I-42d (122)

Cell: 6.4940 6.4940 6.4940 Å, 101.80 101.80 126.22°
Sites, in units of the cell vectors:
1 La 0.0545 0.1250 0.4295
2 La 0.3750 0.9455 0.0705
3 La 0.6955 0.6250 0.5705
4 La 0.8750 0.3045 0.9295
5 Ti 0.2500 0.7500 0.5000
6 Ti 0.5000 0.5000 0.0000
7 Fe 0.0000 0.0000 0.0000
8 Fe 0.7500 0.2500 0.5000

***

Most stable structure: #P

***

#P
## LaTl3Fe (PBE)

Data for crystalline LaTl3Fe at its relaxed geometry.

Total moment   0.0003 μB/atom
Symmetry   Pm-3m (221)

Cell: 5.0763 5.0763 5.0763 Å, 90.00 90.00 90.00°
Sites, in units of the cell vectors:
1 La 0.0000 0.0000 0.0000
2 Tl 0.0000 0.5000 0.5000
3 Tl 0.5000 0.0000 0.5000
4 Tl 0.5000 0.5000 0.0000
5 Fe 0.5000 0.5000 0.5000

***

#Q
## LaTl3Fe (PBE)

Data for crystalline LaTl3Fe at its relaxed geometry.

Total moment   0.0553 μB/atom
Symmetry   Pm-3m (221)

Cell: 6.0526 6.0526 6.0526 Å, 90.00 90.00 90.00°
Sites, in units of the cell vectors:
1 La 0.0000 0.0000 0.0000
2 Tl 0.0000 0.0000 0.5000
3 Tl 0.0000 0.5000 0.0000
4 Tl 0.5000 0.0000 0.0000
5 Fe 0.5000 0.5000 0.5000

***

Most stable structure: #P

***

#P
## LaTlFe3 (PBE)

Data for crystalline LaTlFe3 at its relaxed geometry.

Total moment   1.5814 μB/atom
Symmetry   Pm-3m (221)

Cell: 4.9516 4.9516 4.9516 Å, 90.00 90.00 90.00°
Sites, in units of the cell vectors:
1 La 0.0000 0.0000 0.0000
2 Tl 0.5000 0.5000 0.5000
3 Fe 0.0000 0.5000 0.5000
4 Fe 0.5000 0.0000 0.5000
5 Fe 0.5000 0.5000 0.0000

***

#Q
## LaTlFe3 (PBE)

Data for crystalline LaTlFe3 at its relaxed geometry.

Total moment   1.2127 μB/atom
Symmetry   Pm-3m (221)

Cell: 4.7632 4.7632 4.7632 Å, 90.00 90.00 90.00°
Sites, in units of the cell vectors:
1 La 0.0000 0.0000 0.0000
2 Tl 0.5000 0.5000 0.5000
3 Fe 0.0000 0.0000 0.5000
4 Fe 0.0000 0.5000 0.0000
5 Fe 0.5000 0.0000 0.0000

***

Most stable structure: #P

***

#P
## LaV2Fe (PBE)

Data for crystalline LaV2Fe at its relaxed geometry.

Total moment   0.0009 μB/atom
Symmetry   I4_1/amd (141)

Cell: 8.6280 8.6280 8.6280 Å, 149.06 149.06 44.33°
Sites, in units of the cell vectors:
1 La 0.3750 0.6250 0.7500
2 La 0.6250 0.3750 0.2500
3 V 0.0000 0.0000 0.0000
4 V 0.0000 0.0000 0.5000
5 V 0.0000 0.5000 0.0000
6 V 0.5000 0.0000 0.5000
7 Fe 0.1250 0.8750 0.2500
8 Fe 0.8750 0.1250 0.7500

***

#Q
## LaV2Fe (PBE)

Data for crystalline LaV2Fe at its relaxed geometry.

Total moment   0.0590 μB/atom
Symmetry   Fm-3m (225)

Cell: 4.4429 4.4429 4.4429 Å, 60.00 60.00 60.00°
Sites, in units of the cell vectors:
1 La 0.0000 0.0000 0.0000
2 V 0.2500 0.2500 0.2500
3 V 0.7500 0.7500 0.7500
4 Fe 0.5000 0.5000 0.5000

***

Most stable structure: #Q